Compound: Pr2Hf2Ni15
Source: the Alexandria database
Functional: PBE
Structure: optimized geometry Values from VASP.

Cell and atoms, written as Quantum ESPRESSO input:
```
&SYSTEM
  ibrav = 0, nat = 19, ntyp = 3
/
ATOMIC_SPECIES
Pr 140.91 Pr.upf
Hf 178.49 Hf.upf
Ni 58.69 Ni.upf
ATOMIC_POSITIONS angstrom
Pr -2.2830 -2.1893 3.2048
Pr -4.1437 -3.9736 5.8168
Hf -0.6937 -0.6652 0.9738
Hf -5.7330 -5.4977 8.0478
Ni -1.7989 -2.6890 -0.1501
Ni -2.4278 0.9784 1.9072
Ni 1.0134 -1.3710 2.7537
Ni -0.0008 -1.3576 5.0086
Ni -1.9408 -4.6013 1.4108
Ni -4.4850 -0.2040 2.6023
Ni 0.3697 -3.5185 3.7964
Ni -3.9684 -3.2170 0.9121
Ni -2.8280 0.5726 4.3132
Ni -2.4151 -1.3511 6.0683
Ni -1.7855 -5.0222 4.0089
Ni -5.2302 -2.6704 3.1616
Ni -4.0116 -4.8118 2.9534
Ni -4.6411 -1.1407 5.0128
Ni -1.1965 -3.4925 5.8600
CELL_PARAMETERS angstrom
-3.5978 -5.3779 -0.3001
2.0268 -2.7419 5.5073
-4.8556 1.9569 3.8145
```

Results
DFT formation energy (eV/atom): -0.2728
Space-group type: No. 166
D(E_F) (states/eV/cell): 27.01